Below is crystalline Te2W at its relaxed geometry, with properties calculated at the GGA-PBEsol level.

Output
Formation energy without anion corrections: 0.24 eV/atom
V: 288.9 Å³ per cell

Cell lengths 3.3634, 16.7771, 5.1205 Å; angles 90.00, 90.00, 90.00 degrees
Closest atoms and distances in Å follow each position.
Space group Cmcm (No. 63)
Unique sites:
Te: 0.0000 0.0899 0.2500  2 W 2.76
Te: 0.0000 0.3513 0.2500  4 W 2.77-2.83
W: 0.0000 0.2796 0.7500  6 Te 2.76-2.83

***

Below is crystalline Ba4AlRe at its relaxed geometry, with properties calculated at the GGA-PBEsol level.

Output
ΔE_f: 1.3635 eV per atom
V: 857.1 Å³ per cell

Cell lengths 9.4992, 9.4992, 9.4992 Å; angles 90.00, 90.00, 90.00 degrees
Closest atoms and distances in Å follow each position.
Space group F-43m (No. 216)
Unique sites:
Ba: 0.1253 0.1253 0.1253  6 Ba 3.35-3.37
Al: 0.2500 0.2500 0.7500  12 Ba 3.94, 4 Re 4.11
Re: 0.0000 0.0000 0.5000  12 Ba 3.94, 4 Al 4.11

***

Below is crystalline LiMg at its relaxed geometry, with properties calculated at the GGA-PBEsol level.

Output
ΔE_f: -0.0475 eV per atom
V: 121.5 Å³ per cell

Cell lengths 2.9946, 4.7718, 8.5047 Å; angles 90.00, 91.49, 90.00 degrees
Closest atoms and distances in Å follow each position.
Space group Pm (No. 6)
Unique sites:
Li: 0.0000 0.0000 0.0000  5 Li 2.80-2.99, 3 Mg 3.01-3.07
Li: 0.1113 0.5000 0.8323  4 Li 2.80-2.99, 4 Mg 2.93-3.03
Li: 0.2699 0.0000 0.3292  3 Li 2.89-2.99, 5 Mg 2.93-3.02
Mg: 0.5309 0.0000 0.6745  6 Mg 2.99-3.31, 7 Li 3.02-3.23
Mg: 0.5751 0.5000 0.1527  8 Li 2.98-3.20, 3 Mg 2.99-3.07
Mg: 0.9527 0.5000 0.4914  3 Li 2.93, 5 Mg 2.99-3.13